Density functional theory data (PBE) for crystalline AcNd8Y6 at its relaxed geometry.

Lattice parameters (Å, degrees): 8.7629 8.7629 8.7629 64.99 64.99 64.99
Positions (direct):
Ac1 0.0000 0.0000 0.0000
Nd1 0.6636 0.7725 0.0861
Nd2 0.7725 0.0861 0.6636
Nd3 0.0861 0.6636 0.7725
Nd4 0.3364 0.2275 0.9139
Nd5 0.2275 0.9139 0.3364
Nd6 0.9139 0.3364 0.2275
Nd7 0.5727 0.5727 0.5727
Nd8 0.4273 0.4273 0.4273
Y1 0.1065 0.2653 0.5459
Y2 0.2653 0.5459 0.1065
Y3 0.5459 0.1065 0.2653
Y4 0.8935 0.7347 0.4541
Y5 0.7347 0.4541 0.8935
Y6 0.4541 0.8935 0.7347

- DFT formation energy (kcal/mol of atoms) = 3.52
- calculated volume (Å³ per atom) = 35.178
- density (g/cm³) = 6.0



Density functional theory data (PBE) for crystalline AgI2Cl6 at its relaxed geometry.

Lattice parameters (Å, degrees): 5.3495 8.0413 9.1776 120.08 90.00 109.43
Positions (direct):
Ag1 0.0000 0.0000 0.5000
I1 0.3206 0.6412 0.7331
I2 0.6794 0.3588 0.2669
Cl1 0.1650 0.3300 0.7766
Cl2 0.1640 0.3281 0.2230
Cl3 0.8360 0.6719 0.7770
Cl4 0.4646 0.9293 0.6818
Cl5 0.5354 0.0707 0.3182
Cl6 0.8350 0.6700 0.2234

- calculated volume (Å³ per atom) = 35.040
- density (g/cm³) = 3.0
- energy relative to the lowest polymorph listed for this composition (meV/atom) = 0.0



Density functional theory data (PBE) for crystalline BaMn2Cl at its relaxed geometry.

Lattice parameters (Å, degrees): 7.3085 7.3085 7.3085 146.58 146.58 47.99
Positions (direct):
Mn1 0.0000 0.0000 0.0000
Mn2 0.5000 0.5000 0.0000
Ba1 0.2500 0.7500 0.5000
Cl1 0.7500 0.2500 0.5000

- calculated volume (Å³ per atom) = 29.488
- density (g/cm³) = 4.0
- energy relative to the lowest polymorph listed for this composition (meV/atom) = 86.9



Density functional theory data (PBE) for crystalline Zr2CdP at its relaxed geometry.

Lattice parameters (Å, degrees): 7.4754 7.4754 6.0879 52.12 52.12 90.00
Positions (direct):
P1 0.5000 0.5000 0.0000
P2 0.2500 0.7500 0.5000
Zr1 0.5895 0.1250 0.2500
Zr2 0.1605 0.6250 0.2500
Zr3 0.3750 0.4105 0.7500
Zr4 0.8750 0.8395 0.7500
Cd1 0.0000 0.0000 0.0000
Cd2 0.7500 0.2500 0.5000

- DFT formation energy (kcal/mol of atoms) = -8.38
- calculated volume (Å³ per atom) = 21.096
- density (g/cm³) = 6.4
- energy relative to the lowest polymorph listed for this composition (meV/atom) = 369.0



Density functional theory data (PBE) for crystalline KLi6IrO6 at its relaxed geometry.

Lattice parameters (Å, degrees): 5.3547 5.3547 5.3547 101.39 101.39 101.39
Positions (direct):
K1 0.5000 0.5000 0.5000
Li1 0.0000 0.3382 0.6618
Li2 0.6618 0.0000 0.3382
Li3 0.6618 0.3382 0.0000
Li4 0.3382 0.0000 0.6618
Li5 0.0000 0.6618 0.3382
Li6 0.3382 0.6618 0.0000
Ir1 0.0000 0.0000 0.0000
O1 0.0771 0.7258 0.7258
O2 0.7258 0.7258 0.0771
O3 0.9229 0.2742 0.2742
O4 0.2742 0.2742 0.9229
O5 0.2742 0.9229 0.2742
O6 0.7258 0.0771 0.7258

- calculated volume (Å³ per atom) = 10.215
- density (g/cm³) = 4.3
- total energy (eV per formula unit) = -73.39



Density functional theory data (PBE) for crystalline LiPrBiS3 at its relaxed geometry.

Lattice parameters (Å, degrees): 3.7978 9.2918 8.6031 97.84 90.00 90.00
Positions (direct):
Li1 0.2500 0.0878 0.5893
Li2 0.7500 0.9122 0.4107
Pr1 0.2500 0.1605 0.2093
Pr2 0.7500 0.8395 0.7907
Bi1 0.2500 0.6619 0.1800
Bi2 0.7500 0.3381 0.8200
S1 0.7500 0.9204 0.1355
S2 0.2500 0.0796 0.8645
S3 0.2500 0.8169 0.5337
S4 0.7500 0.1831 0.4663
S5 0.7500 0.3791 0.1260
S6 0.2500 0.6209 0.8740

- calculated volume (Å³ per atom) = 25.063
- density (g/cm³) = 5.0
- total energy (eV per formula unit) = -29.73



Density functional theory data (PBE) for crystalline BaAcMg2Ge2 at its relaxed geometry.

Lattice parameters (Å, degrees): 4.6682 4.6682 9.4290 90.00 90.00 120.00
Positions (direct):
Ba1 0.0000 0.0000 0.5000
Ac1 0.0000 0.0000 0.0000
Mg1 0.3333 0.6667 0.7608
Mg2 0.6667 0.3333 0.2392
Ge1 0.3333 0.6667 0.2268
Ge2 0.6667 0.3333 0.7732

- DFT formation energy (kcal/mol of atoms) = -11.18
- calculated volume (Å³ per atom) = 29.658
- density (g/cm³) = 5.2



Density functional theory data (PBE) for crystalline Cd4AgPt at its relaxed geometry.

Lattice parameters (Å, degrees): 3.0850 6.4309 7.7766 121.40 78.56 76.12
Positions (direct):
Cd1 0.8339 0.5071 0.8251
Cd2 0.3182 0.0274 0.3363
Cd3 0.1661 0.4929 0.1749
Cd4 0.6818 0.9726 0.6637
Ag1 0.0000 0.0000 0.0000
Pt1 0.5000 0.5000 0.5000

- DFT formation energy (kcal/mol of atoms) = -2.69
- calculated volume (Å³ per atom) = 19.620
- density (g/cm³) = 10.6
- energy relative to the lowest polymorph listed for this composition (meV/atom) = 0.0